Below is a geometry-optimized GaSi3Ru structure, with properties calculated at the PBE level.

Cell lengths 4.635, 4.635, 4.635 Å; angles 90.00, 90.00, 90.00 degrees
Space group Pm-3m (No. 221)
Symmetry-distinct sites (fractional):
Ga (0.000, 0.000, 0.000) (multiplicity 1)
Si (0.000, 0.500, 0.500) (multiplicity 3)
Ru (0.500, 0.500, 0.500) (multiplicity 1)

Results
Formation energy (no corrections) (eV per atom): 0.39
Raw total energy (eV/atom): -5.325